No. 1
CaTl2Os | PBE-GGA | relaxed

The structure belongs to space group F-43m (No. 216); the cell edges are 7.181, 7.181 and 7.181 Å and the angles 90.00°, 90.00° and 90.00°. The inequivalent atoms are Ca at (0.000, 0.000, 0.000), Tl at (0.000, 0.000, 0.500), Tl at (0.250, 0.250, 0.750) and Os at (0.250, 0.250, 0.250).

The calculation puts the total energy at -3.853 eV per atom. As for the formation enthalpy at 0 K: 2.55 eV per formula unit.

No. 2
ZrTcIr2 | PBE-GGA | relaxed

The structure belongs to space group Fm-3m (No. 225); the cell edges are 6.450, 6.450 and 6.450 Å and the angles 90.00°, 90.00° and 90.00°. The inequivalent atoms are Zr at (0.000, 0.000, 0.000), Tc at (0.000, 0.000, 0.500) and Ir at (0.250, 0.250, 0.250).

The calculation puts the total energy at -9.225 eV per atom. As for the formation enthalpy at 0 K: -0.26 eV per formula unit.

No. 3
TbNd4Al | PBE-GGA | relaxed

The structure belongs to space group C2/c (No. 15); the cell edges are 8.991, 14.154 and 6.405 Å and the angles 90.00°, 109.28° and 90.00°. The inequivalent atoms are Tb at (0.000, 0.092, 0.250), Nd at (0.101, 0.317, 0.548), Nd at (0.219, 0.112, 0.874) and Al at (0.000, 0.500, 0.250).

The calculation puts the total energy at -4.600 eV per atom. As for the formation enthalpy at 0 K: -0.15 eV per formula unit.

Question: What is the formula in the third record?
Answer: TbNd4Al